(1)
This record from Alexandria via LeMat-Bulk describes Be2PdCl after structural relaxation. The functional is GGA-PBE.

```
Be2PdCl
1.0
-2.805 2.805 3.841
2.805 -2.805 3.841
2.805 2.805 -3.841
Be Pd Cl
4 2 2
direct
0.119 0.625 0.994 Be
0.375 0.369 0.494 Be
0.631 0.125 0.006 Be
0.875 0.881 0.506 Be
0.250 0.750 0.500 Pd
0.500 0.500 0.000 Pd
0.000 0.000 0.000 Cl
0.750 0.250 0.500 Cl
```

Output
**Excess energy over the best structure of this formula in the dataset**: 0.000 eV per atom
**E_form (uncorrected)**: 0.07 eV per atom

(2)
This record from Alexandria via LeMat-Bulk describes YBe2Co after structural relaxation. The functional is GGA-PBE.

```
YBe2Co
1.0
1.871 1.081 4.775
-1.871 1.081 4.775
0.000 -2.161 4.775
Y Be Co
1 2 1
direct
0.000 0.000 0.000 Y
0.192 0.192 0.192 Be
0.808 0.808 0.808 Be
0.500 0.500 0.500 Co
```

Output
**Excess energy over the best structure of this formula in the dataset**: 0.000 eV per atom
**ΔE_f**: -0.193 eV/atom

(3)
This record from Alexandria via LeMat-Bulk describes Nb3Co3Ir2 after structural relaxation. The functional is GGA-PBE.

```
Nb3Co3Ir2
1.0
3.789 0.000 0.000
0.000 3.840 0.000
0.000 0.000 7.874
Nb Co Ir
3 3 2
direct
0.000 0.000 0.000 Nb
0.000 0.500 0.273 Nb
0.000 0.500 0.727 Nb
0.000 0.000 0.500 Co
0.500 0.500 0.000 Co
0.500 0.500 0.500 Co
0.500 0.000 0.264 Ir
0.500 0.000 0.736 Ir
```

Output
**ΔE_f**: -0.283 eV/atom

(4)
This record from Alexandria via LeMat-Bulk describes K2ScHg after structural relaxation. The functional is GGA-PBE.

```
K2ScHg
1.0
-1.851 3.274 6.610
1.851 -3.274 6.610
1.851 3.274 -6.610
K Sc Hg
2 1 1
direct
0.000 0.000 0.000 K
0.699 0.199 0.500 K
0.304 0.804 0.500 Sc
0.466 0.466 0.000 Hg
```

Output
**Excess energy over the best structure of this formula in the dataset**: 0.204 eV per atom
**ΔE_f**: 0.233 eV/atom

(5)
This record from Alexandria via LeMat-Bulk describes YHoAl after structural relaxation. The functional is GGA-PBE.

```
YHoAl
1.0
1.736 1.002 7.879
-1.736 1.002 7.879
0.000 -2.005 7.879
Y Ho Al
1 1 1
direct
0.000 0.000 0.000 Y
0.207 0.207 0.207 Ho
0.437 0.437 0.437 Al
```

Output
**Excess energy over the best structure of this formula in the dataset**: 0.230 eV per atom
**ΔE_f**: -0.035 eV/atom

(6)
This record from Alexandria via LeMat-Bulk describes ErZn8Ni4 after structural relaxation. The functional is GGA-PBE.

```
ErZn8Ni4
1.0
-4.273 4.273 2.531
4.273 -4.273 2.531
4.273 4.273 -2.531
Er Zn Ni
1 8 4
direct
0.000 0.000 0.000 Er
0.000 0.341 0.341 Zn
0.000 0.659 0.659 Zn
0.278 0.500 0.778 Zn
0.341 0.000 0.341 Zn
0.500 0.278 0.778 Zn
0.500 0.722 0.222 Zn
0.659 0.000 0.659 Zn
0.722 0.500 0.222 Zn
0.000 0.000 0.500 Ni
0.000 0.500 0.000 Ni
0.500 0.000 0.000 Ni
0.500 0.500 0.500 Ni
```

Output
**ΔE_f**: -0.295 eV/atom